First-principles (PBE) data for a geometry-optimized Dy2ErHgN structure, as listed in Alexandria.

For the formation energy from raw total energies, the calculation gives -4.67 eV/f.u.

The structure belongs to space group P4/mmm (No. 123); the cell edges are 4.801, 4.801 and 4.746 Å and the angles 90.00°, 90.00° and 90.00°. Symmetry generates all atoms from Dy at (0.000, 0.500, 0.000), Er at (0.000, 0.000, 0.500), Hg at (0.500, 0.500, 0.500) and N at (0.000, 0.000, 0.000).



First-principles (PBE) data for a geometry-optimized NdDy2ErHg4 structure, as listed in Alexandria.

As for the calculated formation energy: -0.470 eV per atom.

The structure belongs to space group R-3m (No. 166, hexagonal axes); the cell edges are 5.2828, 5.2828 and 26.0905 Å and the angles 90.00°, 90.00° and 120.00°. Symmetry generates all atoms from Nd at (0.0000, 0.0000, 0.0000), Dy at (0.0000, 0.0000, 0.2492), Er at (0.0000, 0.0000, 0.5000), Hg at (0.0000, 0.0000, 0.1271) and Hg at (0.0000, 0.0000, 0.3781).



First-principles (PBE) data for a geometry-optimized NdDyEr2Hg4 structure, as listed in Alexandria.

As for the calculated formation energy: -0.470 eV per atom.

The structure belongs to space group R-3m (No. 166, hexagonal axes); the cell edges are 5.2778, 5.2778 and 25.9992 Å and the angles 90.00°, 90.00° and 120.00°. Symmetry generates all atoms from Nd at (0.0000, 0.0000, 0.0000), Dy at (0.0000, 0.0000, 0.5000), Er at (0.0000, 0.0000, 0.2493), Hg at (0.0000, 0.0000, 0.1269) and Hg at (0.0000, 0.0000, 0.3775).



First-principles (PBE) data for a geometry-optimized DyErNiHg structure, as listed in Alexandria.

As for the calculated formation energy: -0.370 eV per atom.

The structure belongs to space group F-43m (No. 216); the cell edges are 7.104, 7.104 and 7.104 Å and the angles 90.00°, 90.00° and 90.00°. Symmetry generates all atoms from Dy at (0.000, 0.000, 0.000), Er at (0.000, 0.000, 0.500), Ni at (0.250, 0.250, 0.250) and Hg at (0.250, 0.250, 0.750).



First-principles (PBE) data for a geometry-optimized DyErHgPb structure, as listed in Alexandria.

As for the calculated formation energy: -0.444 eV per atom.

The structure belongs to space group Pmmm (No. 47); the cell edges are 3.944, 5.203 and 5.207 Å and the angles 90.00°, 90.00° and 90.00°. Symmetry generates all atoms from Dy at (0.000, 0.000, 0.000), Er at (0.000, 0.500, 0.500), Hg at (0.500, 0.000, 0.500) and Pb at (0.500, 0.500, 0.000).



First-principles (PBE) data for a geometry-optimized DyErHgPb structure, as listed in Alexandria.

As for the calculated formation energy: -0.435 eV per atom.

The structure belongs to space group F-43m (No. 216); the cell edges are 7.526, 7.526 and 7.526 Å and the angles 90.00°, 90.00° and 90.00°. Symmetry generates all atoms from Dy at (0.000, 0.000, 0.000), Er at (0.000, 0.000, 0.500), Hg at (0.250, 0.250, 0.750) and Pb at (0.250, 0.250, 0.250).



First-principles (PBE) data for a geometry-optimized PmDyEr2Hg4 structure, as listed in Alexandria.

As for the calculated formation energy: -0.473 eV per atom.

The structure belongs to space group R-3m (No. 166, hexagonal axes); the cell edges are 5.2726, 5.2726 and 25.9169 Å and the angles 90.00°, 90.00° and 120.00°. Symmetry generates all atoms from Pm at (0.0000, 0.0000, 0.0000), Dy at (0.0000, 0.0000, 0.5000), Er at (0.0000, 0.0000, 0.2494), Hg at (0.0000, 0.0000, 0.1264) and Hg at (0.0000, 0.0000, 0.3767).



First-principles (PBE) data for a geometry-optimized PrDyEr2Hg4 structure, as listed in Alexandria.

As for the calculated formation energy: -0.466 eV per atom.

The structure belongs to space group R-3m (No. 166, hexagonal axes); the cell edges are 5.2841, 5.2841 and 26.1021 Å and the angles 90.00°, 90.00° and 120.00°. Symmetry generates all atoms from Pr at (0.0000, 0.0000, 0.0000), Dy at (0.0000, 0.0000, 0.5000), Er at (0.0000, 0.0000, 0.2492), Hg at (0.0000, 0.0000, 0.1275) and Hg at (0.0000, 0.0000, 0.3784).



First-principles (PBE) data for a geometry-optimized PrDy2ErHg4 structure, as listed in Alexandria.

As for the calculated formation energy: -0.467 eV per atom.

The structure belongs to space group R-3m (No. 166, hexagonal axes); the cell edges are 5.2883, 5.2883 and 26.2031 Å and the angles 90.00°, 90.00° and 120.00°. Symmetry generates all atoms from Pr at (0.0000, 0.0000, 0.0000), Dy at (0.0000, 0.0000, 0.2490), Er at (0.0000, 0.0000, 0.5000), Hg at (0.0000, 0.0000, 0.1276) and Hg at (0.0000, 0.0000, 0.3789).



First-principles (PBE) data for a geometry-optimized DyErHgPt structure, as listed in Alexandria.

As for the calculated formation energy: -0.877 eV per atom.

The structure belongs to space group P4mm (No. 99); the cell edges are 3.558, 3.558 and 7.339 Å and the angles 90.00°, 90.00° and 90.00°. Symmetry generates all atoms from Dy at (0.000, 0.000, 0.000), Er at (0.000, 0.000, 0.451), Hg at (0.500, 0.500, 0.722) and Pt at (0.500, 0.500, 0.230).



First-principles (PBE) data for a geometry-optimized DyErHgPt structure, as listed in Alexandria.

As for the calculated formation energy: -0.831 eV per atom.

The structure belongs to space group F-43m (No. 216); the cell edges are 7.170, 7.170 and 7.170 Å and the angles 90.00°, 90.00° and 90.00°. Symmetry generates all atoms from Dy at (0.000, 0.000, 0.000), Er at (0.000, 0.000, 0.500), Hg at (0.250, 0.250, 0.250) and Pt at (0.250, 0.250, 0.750).



First-principles (PBE) data for a geometry-optimized DyErHgRh structure, as listed in Alexandria.

As for the calculated formation energy: -0.629 eV per atom.

The structure belongs to space group F-43m (No. 216); the cell edges are 7.110, 7.110 and 7.110 Å and the angles 90.00°, 90.00° and 90.00°. Symmetry generates all atoms from Dy at (0.000, 0.000, 0.000), Er at (0.000, 0.000, 0.500), Hg at (0.250, 0.250, 0.250) and Rh at (0.250, 0.250, 0.750).



no.,electronic total energy (eV/atom),volume (Å³ per atom)
1,-5.41,21.88
2,-2.94,26.27
3,-2.93,26.13
4,-4.18,22.41
5,-3.74,26.71
6,-3.73,26.64
7,-2.93,26.00
8,-2.93,26.30
9,-2.94,26.44
10,-4.75,23.23
11,-4.71,23.04
12,-4.83,22.47